# PBE-GGA Ac3Te, optimized geometry
data_Ac3Te
_cell_length_a 4.103
_cell_length_b 5.913
_cell_length_c 6.384
_cell_angle_alpha 90.00
_cell_angle_beta 90.00
_cell_angle_gamma 90.00
_space_group_name_H-M_alt 'P m m 2'
_space_group_IT_number 25
loop_
_space_group_symop_operation_xyz
'x,y,z'
'-x,-y,z'
'-x,y,z'
'x,-y,z'
loop_
_atom_site_label
_atom_site_type_symbol
_atom_site_fract_x
_atom_site_fract_y
_atom_site_fract_z
Ac1 Ac 0.000 0.000 0.000
Ac2 Ac 0.000 0.500 0.416
Ac3 Ac 0.500 0.000 0.534
Te1 Te 0.500 0.500 0.896
# Excess energy over the best structure of this formula in the dataset, meV per atom: 91.7
# Final energy, eV per cell: -17.39